## Ac6SmSn3 (PBE)

Data for a geometry-optimized Ac6SmSn3 structure.

Calculated values
formation energy: -0.32 eV per atom
N(E_F): 51.32 states/eV/cell
calculated volume: 40.65 A^3/atom

Cell: 12.814 16.104 7.879 Å, 90.00 90.00 90.00°
Space group Cmc2_1 (No. 36)
Asymmetric unit:
Ac (0.000, 0.043, 0.000)
Ac (0.000, 0.257, 0.149)
Ac (0.183, 0.466, 0.159)
Ac (0.238, 0.295, 0.485)
Sm (0.000, 0.194, 0.628)
Sn (0.000, 0.399, 0.466)
Sn (0.158, 0.109, 0.341)

---

## TaCu2Au (PBE)

Data for a geometry-optimized TaCu2Au structure.

Calculated values
formation energy: 0.07 eV per atom
offset from the most stable computed form: 4.7 kJ/mol of atoms
N(E_F): 2.51 states/eV/cell
calculated volume: 15.07 A^3/atom

Cell: 2.911 3.452 5.997 Å, 90.00 90.00 90.00°
Space group Pmmm (No. 47)
Asymmetric unit:
Ta (0.000, 0.000, 0.000)
Cu (0.500, 0.500, 0.250)
Au (0.000, 0.000, 0.500)

---

## Re2SiCl (PBE)

Data for a geometry-optimized Re2SiCl structure.

Calculated values
energy relative to the elements, uncorrected: 0.6304 eV/atom
offset from the most stable computed form: 35.3 kJ/mol of atoms
N(E_F): 8.49 states/eV/cell
calculated volume: 15.20 A^3/atom

Cell: 2.830 5.057 8.497 Å, 90.00 90.00 90.00°
Space group Cmmm (No. 65)
Asymmetric unit:
Re (0.000, 0.000, 0.236)
Si (0.000, 0.500, 0.000)
Cl (0.000, 0.500, 0.500)